Record 1
# TiZnAsSe2, relaxed, DFT PBE
data_TiZnAsSe2
_chemical_formula_sum 'Ti1 Zn1 As1 Se2'
_symmetry_space_group_name_H-M 'P 4/m m m'
_symmetry_Int_Tables_number 123
_symmetry_space_group_name_Hall '-P 4 2'
_cell_length_a 4.8781
_cell_length_b 4.8781
_cell_length_c 4.7130
_cell_angle_alpha 90.00
_cell_angle_beta 90.00
_cell_angle_gamma 90.00
loop_
_atom_site_label
_atom_site_fract_x
_atom_site_fract_y
_atom_site_fract_z
Ti1 0.0000 0.0000 0.0000
Zn1 0.5000 0.5000 0.5000
As1 0.5000 0.5000 0.0000
Se1 0.0000 0.5000 0.5000
# - total magnetization (μB/f.u.) = 0.04
# - raw total energy (eV/atom) = -3.64
# - formation energy from raw total energies (eV/atom) = 0.515
# - excess energy over the best structure of this formula in the dataset (kJ/mol of formula units) = 277.6



Record 2
# TlAs2Se, relaxed, DFT PBE
data_TlAs2Se
_chemical_formula_sum 'Tl2 As4 Se2'
_symmetry_space_group_name_H-M 'I m m m'
_symmetry_Int_Tables_number 71
_symmetry_space_group_name_Hall '-I 2 2'
_cell_length_a 3.4567
_cell_length_b 5.5900
_cell_length_c 9.7561
_cell_angle_alpha 90.00
_cell_angle_beta 90.00
_cell_angle_gamma 90.00
loop_
_atom_site_label
_atom_site_fract_x
_atom_site_fract_y
_atom_site_fract_z
Tl1 0.0000 0.0000 0.0000
As1 0.0000 0.5000 0.2127
Se1 0.0000 0.0000 0.5000
# - total magnetization (μB/f.u.) = 0.00
# - raw total energy (eV/atom) = -3.54
# - formation energy from raw total energies (eV/atom) = 0.249
# - excess energy over the best structure of this formula in the dataset (kJ/mol of formula units) = 105.4



Record 3
# Tl2AsSe, relaxed, DFT PBE
data_Tl2AsSe
_chemical_formula_sum 'Tl2 As1 Se1'
_symmetry_space_group_name_H-M 'P 4 m m'
_symmetry_Int_Tables_number 99
_cell_length_a 3.8067
_cell_length_b 3.8067
_cell_length_c 7.6736
_cell_angle_alpha 90.00
_cell_angle_beta 90.00
_cell_angle_gamma 90.00
loop_
_symmetry_equiv_pos_as_xyz
'x,y,z'
'-y,x,z'
'-x,-y,z'
'y,-x,z'
'-x,y,z'
'y,x,z'
'x,-y,z'
'-y,-x,z'
loop_
_atom_site_label
_atom_site_fract_x
_atom_site_fract_y
_atom_site_fract_z
Tl1 0.0000 0.0000 0.0000
Tl2 0.5000 0.5000 0.3012
As1 0.0000 0.0000 0.6095
Se1 0.5000 0.5000 0.7034
# - total magnetization (μB/f.u.) = 0.00
# - raw total energy (eV/atom) = -3.20
# - formation energy from raw total energies (eV/atom) = 0.020
# - excess energy over the best structure of this formula in the dataset (kJ/mol of formula units) = 30.4



Record 4
# TlAs2Se, relaxed, DFT PBE
data_TlAs2Se
_chemical_formula_sum 'Tl1 As2 Se1'
_symmetry_space_group_name_H-M 'P 1 m 1'
_symmetry_Int_Tables_number 6
_cell_length_a 3.4113
_cell_length_b 5.5313
_cell_length_c 5.8831
_cell_angle_alpha 90.00
_cell_angle_beta 105.38
_cell_angle_gamma 90.00
loop_
_symmetry_equiv_pos_as_xyz
'x,y,z'
'x,-y,z'
loop_
_atom_site_label
_atom_site_fract_x
_atom_site_fract_y
_atom_site_fract_z
Tl1 0.0000 0.0000 0.0000
As1 0.7181 0.0000 0.4550
As2 0.7467 0.5000 0.5110
Se1 0.3918 0.5000 0.8293
# - total magnetization (μB/f.u.) = 0.00
# - raw total energy (eV/atom) = -3.68
# - formation energy from raw total energies (eV/atom) = 0.105
# - excess energy over the best structure of this formula in the dataset (kJ/mol of formula units) = 49.8



Record 5
# Tl2As2Se, relaxed, DFT PBE
data_Tl2As2Se
_chemical_formula_sum 'Tl4 As4 Se2'
_symmetry_space_group_name_H-M 'P 4/m b m'
_symmetry_Int_Tables_number 127
_symmetry_space_group_name_Hall '-P 4 2ab'
_cell_length_a 9.7412
_cell_length_b 9.7412
_cell_length_c 3.0035
_cell_angle_alpha 90.00
_cell_angle_beta 90.00
_cell_angle_gamma 90.00
loop_
_atom_site_label
_atom_site_fract_x
_atom_site_fract_y
_atom_site_fract_z
Tl1 0.2031 0.2969 0.0000
As1 0.0857 0.5857 0.5000
Se1 0.0000 0.0000 0.0000
# - total magnetization (μB/f.u.) = 0.00
# - raw total energy (eV/atom) = -3.29
# - formation energy from raw total energies (eV/atom) = 0.212
# - excess energy over the best structure of this formula in the dataset (kJ/mol of formula units) = 95.8



Record 6
# TlAs2Se, relaxed, DFT PBE
data_TlAs2Se
_chemical_formula_sum 'Tl1 As2 Se1'
_symmetry_space_group_name_H-M 'P 4/m m m'
_symmetry_Int_Tables_number 123
_symmetry_space_group_name_Hall '-P 4 2'
_cell_length_a 3.8639
_cell_length_b 3.8639
_cell_length_c 6.6589
_cell_angle_alpha 90.00
_cell_angle_beta 90.00
_cell_angle_gamma 90.00
loop_
_atom_site_label
_atom_site_fract_x
_atom_site_fract_y
_atom_site_fract_z
Tl1 0.0000 0.0000 0.0000
As1 0.5000 0.5000 0.3196
Se1 0.0000 0.0000 0.5000
# - total magnetization (μB/f.u.) = 0.00
# - raw total energy (eV/atom) = -3.52
# - formation energy from raw total energies (eV/atom) = 0.271
# - excess energy over the best structure of this formula in the dataset (kJ/mol of formula units) = 113.9



Record 7
# Tl2AsSe, relaxed, DFT PBE
data_Tl2AsSe
_chemical_formula_sum 'Tl2 As1 Se1'
_symmetry_space_group_name_H-M 'P m m m'
_symmetry_Int_Tables_number 47
_cell_length_a 4.5427
_cell_length_b 4.6343
_cell_length_c 5.0121
_cell_angle_alpha 90.00
_cell_angle_beta 90.00
_cell_angle_gamma 90.00
loop_
_symmetry_equiv_pos_as_xyz
'x,y,z'
'-x,-y,-z'
'-x,-y,z'
'x,y,-z'
'x,-y,-z'
'-x,y,z'
'-x,y,-z'
'x,-y,z'
loop_
_atom_site_label
_atom_site_fract_x
_atom_site_fract_y
_atom_site_fract_z
Tl1 0.0000 0.0000 0.0000
Tl2 0.5000 0.5000 0.0000
As1 0.0000 0.5000 0.5000
Se1 0.5000 0.0000 0.5000
# - total magnetization (μB/f.u.) = 0.00
# - raw total energy (eV/atom) = -3.09
# - formation energy from raw total energies (eV/atom) = 0.129
# - excess energy over the best structure of this formula in the dataset (kJ/mol of formula units) = 72.5



Record 8
# Tl2AsSe, relaxed, DFT PBE
data_Tl2AsSe
_chemical_formula_sum 'Tl4 As2 Se2'
_symmetry_space_group_name_H-M 'C 1 2/m 1'
_symmetry_Int_Tables_number 12
_cell_length_a 14.7411
_cell_length_b 3.8385
_cell_length_c 4.2914
_cell_angle_alpha 90.00
_cell_angle_beta 106.81
_cell_angle_gamma 90.00
loop_
_symmetry_equiv_pos_as_xyz
'x,y,z'
'-x,-y,-z'
'-x,y,-z'
'x,-y,z'
'x+1/2,y+1/2,z'
'-x+1/2,-y+1/2,-z'
'-x+1/2,y+1/2,-z'
'x+1/2,-y+1/2,z'
loop_
_atom_site_label
_atom_site_fract_x
_atom_site_fract_y
_atom_site_fract_z
Tl1 0.1730 0.0000 0.1722
As1 0.0000 0.5000 0.0000
Se1 0.0000 0.0000 0.5000
# - total magnetization (μB/f.u.) = 0.00
# - raw total energy (eV/atom) = -3.22
# - formation energy from raw total energies (eV/atom) = -0.006
# - excess energy over the best structure of this formula in the dataset (kJ/mol of formula units) = 20.3



Among the records above, which one has the highest raw total energy? number 7



Look up the raw total energy of the sixth one. -3.52 eV/atom



Copy entry 2 word for word.
# TlAs2Se, relaxed, DFT PBE
data_TlAs2Se
_chemical_formula_sum 'Tl2 As4 Se2'
_symmetry_space_group_name_H-M 'I m m m'
_symmetry_Int_Tables_number 71
_symmetry_space_group_name_Hall '-I 2 2'
_cell_length_a 3.4567
_cell_length_b 5.5900
_cell_length_c 9.7561
_cell_angle_alpha 90.00
_cell_angle_beta 90.00
_cell_angle_gamma 90.00
loop_
_atom_site_label
_atom_site_fract_x
_atom_site_fract_y
_atom_site_fract_z
Tl1 0.0000 0.0000 0.0000
As1 0.0000 0.5000 0.2127
Se1 0.0000 0.0000 0.5000
# - total magnetization (μB/f.u.) = 0.00
# - raw total energy (eV/atom) = -3.54
# - formation energy from raw total energies (eV/atom) = 0.249
# - excess energy over the best structure of this formula in the dataset (kJ/mol of formula units) = 105.4